KNbF2 | SCAN | single point on PBEsol structure

Structure (CIF):
```
data_KNbF2
_space_group_name_H-M_alt 'F m -3 m'
_space_group_IT_number 225
_space_group_name_Hall '-F 4 2 3'
_cell_length_a 6.333
_cell_length_b 6.333
_cell_length_c 6.333
_cell_angle_alpha 90.00
_cell_angle_beta 90.00
_cell_angle_gamma 90.00
loop_
_atom_site_label
_atom_site_type_symbol
_atom_site_fract_x
_atom_site_fract_y
_atom_site_fract_z
_atom_site_occupancy
K1 K 0.000 0.000 0.000 1
Nb1 Nb 0.000 0.000 0.500 1
F1 F 0.250 0.250 0.250 1
```

Magnetic moment, Bohr magnetons per cell: 16.0
DOS(E_F), states/eV/f.u.: 3.7
Raw total energy, eV per atom: -13.20
Uncorrected formation energy, kJ/mol of atoms: -103